1.
{"formula": "Ce2Pa2Rh5", "functional": "PBE-GGA", "state": "relaxed", "lattice_angstrom": [[7.505, 0.000, 0.000], [0.000, 6.870, -3.813], [0.000, -0.509, 7.840]], "species": ["Ce", "Ce", "Ce", "Ce", "Pa", "Pa", "Pa", "Pa", "Rh", "Rh", "Rh", "Rh", "Rh", "Rh", "Rh", "Rh", "Rh", "Rh"], "fractional_positions": [[0.000, 0.796, 0.204], [0.500, 0.296, 0.704], [0.000, 0.204, 0.796], [0.500, 0.704, 0.296], [0.341, 0.162, 0.162], [0.659, 0.838, 0.838], [0.841, 0.338, 0.338], [0.159, 0.662, 0.662], [0.000, 0.000, 0.000], [0.500, 0.500, 0.500], [0.149, 0.232, 0.487], [0.851, 0.513, 0.768], [0.649, 0.013, 0.268], [0.351, 0.732, 0.987], [0.851, 0.768, 0.513], [0.149, 0.487, 0.232], [0.351, 0.987, 0.732], [0.649, 0.268, 0.013]], "formation_enthalpy_0k_mev_per_atom": -664, "final_energy_ev_per_cell": -147.18, "spacegroup": "Cmce", "mass_density_g_cm3": 10.71}

=====

2.
{"formula": "Al5Hg", "functional": "PBE-GGA", "state": "relaxed", "lattice_angstrom": [[-7.659, 0.457, -4.035], [7.070, -3.296, 3.782], [-2.082, 0.079, 3.962]], "species": ["Al", "Al", "Al", "Al", "Al", "Hg"], "fractional_positions": [[0.987, 0.013, 0.000], [0.333, 0.667, 0.000], [0.686, 0.314, 0.000], [0.438, 0.562, 0.500], [0.784, 0.216, 0.500], [0.104, 0.896, 0.500]], "formation_enthalpy_0k_mev_per_atom": 125, "final_energy_ev_per_cell": -18.26, "polymorph_energy_mev_per_atom": 37, "spacegroup": "Amm2", "mass_density_g_cm3": 5.00}

=====

3.
{"formula": "ReAu3", "functional": "PBE-GGA", "state": "relaxed", "lattice_angstrom": [[-0.513, -1.794, 5.418], [1.909, -5.213, 1.422], [0.809, 5.377, -1.808]], "species": ["Au", "Au", "Au", "Re"], "fractional_positions": [[0.977, 0.985, 0.992], [0.100, 0.750, 0.350], [0.506, 0.515, 0.992], [0.583, 0.250, 0.333]], "formation_enthalpy_0k_mev_per_atom": 485, "final_energy_ev_per_cell": -20.34, "spacegroup": "Imm2", "mass_density_g_cm3": 18.62}

=====

4.
{"formula": "La2TiTcP", "functional": "PBE-GGA", "state": "relaxed", "lattice_angstrom": [[5.520, 0.000, 0.000], [0.000, 4.382, 0.000], [0.000, 0.000, 5.520]], "species": ["P", "Ti", "Tc", "La", "La"], "fractional_positions": [[0.500, 0.500, 0.500], [0.000, 0.000, 0.000], [0.000, 0.500, 0.000], [0.000, 0.000, 0.500], [0.500, 0.000, 0.000]], "formation_enthalpy_0k_mev_per_atom": 489, "final_energy_ev_per_cell": -31.08, "spacegroup": "P4/mmm", "mass_density_g_cm3": 5.65}

=====

5.
{"formula": "LaGa6Ag2", "functional": "PBE-GGA", "state": "relaxed", "lattice_angstrom": [[-0.283, -3.556, 2.316], [-3.347, -3.349, -5.550], [7.148, 1.644, -0.508]], "species": ["La", "Ga", "Ga", "Ga", "Ga", "Ga", "Ga", "Ag", "Ag"], "fractional_positions": [[0.000, 0.500, 0.000], [0.696, 0.884, 0.391], [0.304, 0.116, 0.609], [0.304, 0.493, 0.609], [0.500, 0.174, 0.000], [0.500, 0.826, 0.000], [0.696, 0.507, 0.391], [0.885, 0.885, 0.770], [0.115, 0.115, 0.230]], "formation_enthalpy_0k_mev_per_atom": -184, "final_energy_ev_per_cell": -30.44, "polymorph_energy_mev_per_atom": 0, "spacegroup": "Immm", "mass_density_g_cm3": 6.87}

=====

6.
{"formula": "OsPbCl2", "functional": "PBE-GGA", "state": "relaxed", "lattice_angstrom": [[8.489, -0.018, -0.011], [7.733, 3.504, -0.011], [7.733, 1.662, 3.085]], "species": ["Pb", "Os", "Cl", "Cl"], "fractional_positions": [[0.757, 0.757, 0.757], [0.513, 0.513, 0.513], [0.008, 0.008, 0.008], [0.222, 0.222, 0.222]], "final_energy_ev_per_cell": -17.12, "polymorph_energy_mev_per_atom": 266, "spacegroup": "R3m", "formation_energy_uncorrected_ev_per_fu": 1.5, "mass_density_g_cm3": 8.41}